1.
{"formula": "LiAuCF2", "functional": "PBE", "state": "relaxed", "lattice": [[-2.081, 2.404, 1.082], [-3.638, -3.720, 1.264], [1.319, -0.244, 3.079]], "species": ["F", "F", "Li", "C", "Au"], "frac_coords": [[0.500, 0.000, 0.000], [0.000, 0.000, 0.500], [0.000, 0.000, 0.000], [0.000, 0.500, 0.000], [0.500, 0.500, 0.500]], "formation_energy_uncorrected_ev_per_atom": 0.00, "spacegroup": "P4/mmm, No. 123", "rho_g_cm3": 7.0}

2.
{"formula": "KCa2S2", "functional": "PBE", "state": "relaxed", "lattice": [[5.323, 0.000, 0.000], [0.000, 5.323, 0.000], [2.662, 2.662, 7.756]], "species": ["S", "S", "Ca", "Ca", "K"], "frac_coords": [[0.205, 0.205, 0.591], [0.795, 0.795, 0.409], [0.750, 0.250, 0.500], [0.250, 0.750, 0.500], [0.000, 0.000, 0.000]], "formation_energy_uncorrected_ev_per_atom": -1.43, "spacegroup": "I4/mmm, No. 139", "rho_g_cm3": 1.4}

3.
{"formula": "AlSbBr2", "functional": "PBE", "state": "relaxed", "lattice": [[7.125, 0.000, 0.000], [4.649, 5.399, 0.000], [-5.887, -2.700, 2.970]], "species": ["Br", "Br", "Al", "Sb"], "frac_coords": [[0.000, 0.000, 0.000], [0.250, 0.750, 0.500], [0.750, 0.250, 0.500], [0.500, 0.500, 0.000]], "formation_energy_uncorrected_ev_per_atom": 0.13, "spacegroup": "I-4m2, No. 119", "rho_g_cm3": 4.5}

4.
{"formula": "Sc2ZnSe", "functional": "PBE", "state": "relaxed", "lattice": [[-2.636, 2.647, -1.371], [-1.340, -2.585, -2.416], [-6.379, -1.921, 8.556]], "species": ["Se", "Se", "Sc", "Sc", "Sc", "Sc", "Zn", "Zn"], "frac_coords": [[0.750, 0.807, 0.614], [0.250, 0.193, 0.386], [0.750, 0.677, 0.355], [0.250, 0.068, 0.136], [0.250, 0.323, 0.645], [0.750, 0.932, 0.864], [0.750, 0.540, 0.081], [0.250, 0.460, 0.919]], "formation_energy_uncorrected_ev_per_atom": -0.97, "spacegroup": "Cmcm, No. 63", "rho_g_cm3": 4.8}